Entry 1:
# Na2VO4, relaxed, DFT PBE with a Hubbard U
# SG ... P2_1/m, No. 11
# Raw total energy ... -5.885 eV/atom
# ρ ... 2.41 g cm⁻³
data_Na2VO4
_space_group_name_H-M_alt 'P 1'
_space_group_IT_number 1
_cell_length_a 5.7866
_cell_length_b 6.2064
_cell_length_c 6.4783
_cell_angle_alpha 90.00
_cell_angle_beta 107.29
_cell_angle_gamma 90.00
loop_
_space_group_symop_operation_xyz
'x,y,z'
loop_
_atom_site_label
_atom_site_fract_x
_atom_site_fract_y
_atom_site_fract_z
O1 0.3956 0.9717 0.2381
Na1 0.7603 0.7500 0.5623
O2 0.3956 0.5283 0.2381
V1 0.8010 0.2500 0.8146
O3 0.6044 0.4717 0.7619
O4 0.0411 0.7500 0.9109
Na2 0.2397 0.2500 0.4377
O5 0.0091 0.2500 0.6725
O6 0.9589 0.2500 0.0891
Na3 0.6397 0.7500 0.0162
Na4 0.3603 0.2500 0.9838
V2 0.1990 0.7500 0.1854
O7 0.9909 0.7500 0.3275
O8 0.6044 0.0283 0.7619


Entry 2:
# Na2VO3, relaxed, DFT PBE with a Hubbard U
# SG ... Fdd2, No. 43
# Raw total energy ... -6.034 eV/atom
# ρ ... 3.59 g cm⁻³
data_Na2VO3
_space_group_name_H-M_alt 'P 1'
_space_group_IT_number 1
_cell_length_a 10.2788
_cell_length_b 9.7923
_cell_length_c 5.5307
_cell_angle_alpha 78.92
_cell_angle_beta 69.21
_cell_angle_gamma 31.87
loop_
_space_group_symop_operation_xyz
'x,y,z'
loop_
_atom_site_label
_atom_site_fract_x
_atom_site_fract_y
_atom_site_fract_z
Na1 0.7448 0.7440 0.2567
Na2 0.6828 0.6606 0.8171
O1 0.0588 0.4516 0.4429
O2 0.3754 0.9391 0.5834
V1 0.1055 0.0667 0.8887
Na3 0.9956 0.9933 0.5060
O3 0.2033 0.8071 0.7984
V2 0.3110 0.3613 0.1833
O4 0.3109 0.8746 0.1479
Na4 0.4105 0.4329 0.5894
Na5 0.5894 0.5672 0.4105
Na6 0.2567 0.2544 0.7448
O5 0.6377 0.1681 0.9055
O6 0.7984 0.1912 0.2033
O7 0.9055 0.2887 0.6377
O8 0.5834 0.1021 0.3754
O9 0.4429 0.0467 0.0588
Na7 0.8171 0.8395 0.6828
O10 0.9613 0.3445 0.0819
V3 0.8887 0.9390 0.1055
V4 0.1833 0.1445 0.3110
Na8 0.5060 0.5052 0.9956
O11 0.1479 0.6666 0.3109
O12 0.0819 0.6123 0.9613


Entry 3:
# NaVO3, relaxed, DFT PBE with a Hubbard U
# SG ... C2/c, No. 15
# Raw total energy ... -6.688 eV/atom
# ρ ... 2.71 g cm⁻³
data_NaVO3
_space_group_name_H-M_alt 'P 1'
_space_group_IT_number 1
_cell_length_a 7.3075
_cell_length_b 7.3075
_cell_length_c 6.0153
_cell_angle_alpha 74.97
_cell_angle_beta 105.03
_cell_angle_gamma 96.24
loop_
_space_group_symop_operation_xyz
'x,y,z'
loop_
_atom_site_label
_atom_site_fract_x
_atom_site_fract_y
_atom_site_fract_z
O1 0.3747 0.1129 0.1682
O2 0.8373 0.1545 0.0559
O3 0.8455 0.1627 0.5559
O4 0.7173 0.4798 0.1609
O5 0.1441 0.8640 0.9292
V1 0.1100 0.7145 0.7186
Na1 0.7670 0.7857 0.2425
O6 0.8871 0.6253 0.6682
O7 0.2640 0.5386 0.8241
V2 0.2855 0.8900 0.2186
Na2 0.2143 0.2330 0.7425
V3 0.8714 0.3040 0.2664
O8 0.1360 0.8559 0.4292
O9 0.0943 0.3934 0.3167
Na3 0.3998 0.4185 0.2425
O10 0.4614 0.7360 0.3241
O11 0.5202 0.2827 0.6609
V4 0.6960 0.1286 0.7664
O12 0.6066 0.9057 0.8167
Na4 0.5815 0.6002 0.7425


Among the records above, which one has the highest ρ?
Na2VO3


Repeat the second record exactly.
# Na2VO3, relaxed, DFT PBE with a Hubbard U
# SG ... Fdd2, No. 43
# Raw total energy ... -6.034 eV/atom
# ρ ... 3.59 g cm⁻³
data_Na2VO3
_space_group_name_H-M_alt 'P 1'
_space_group_IT_number 1
_cell_length_a 10.2788
_cell_length_b 9.7923
_cell_length_c 5.5307
_cell_angle_alpha 78.92
_cell_angle_beta 69.21
_cell_angle_gamma 31.87
loop_
_space_group_symop_operation_xyz
'x,y,z'
loop_
_atom_site_label
_atom_site_fract_x
_atom_site_fract_y
_atom_site_fract_z
Na1 0.7448 0.7440 0.2567
Na2 0.6828 0.6606 0.8171
O1 0.0588 0.4516 0.4429
O2 0.3754 0.9391 0.5834
V1 0.1055 0.0667 0.8887
Na3 0.9956 0.9933 0.5060
O3 0.2033 0.8071 0.7984
V2 0.3110 0.3613 0.1833
O4 0.3109 0.8746 0.1479
Na4 0.4105 0.4329 0.5894
Na5 0.5894 0.5672 0.4105
Na6 0.2567 0.2544 0.7448
O5 0.6377 0.1681 0.9055
O6 0.7984 0.1912 0.2033
O7 0.9055 0.2887 0.6377
O8 0.5834 0.1021 0.3754
O9 0.4429 0.0467 0.0588
Na7 0.8171 0.8395 0.6828
O10 0.9613 0.3445 0.0819
V3 0.8887 0.9390 0.1055
V4 0.1833 0.1445 0.3110
Na8 0.5060 0.5052 0.9956
O11 0.1479 0.6666 0.3109
O12 0.0819 0.6123 0.9613


Repeat the second record exactly.
# Na2VO3, relaxed, DFT PBE with a Hubbard U
# SG ... Fdd2, No. 43
# Raw total energy ... -6.034 eV/atom
# ρ ... 3.59 g cm⁻³
data_Na2VO3
_space_group_name_H-M_alt 'P 1'
_space_group_IT_number 1
_cell_length_a 10.2788
_cell_length_b 9.7923
_cell_length_c 5.5307
_cell_angle_alpha 78.92
_cell_angle_beta 69.21
_cell_angle_gamma 31.87
loop_
_space_group_symop_operation_xyz
'x,y,z'
loop_
_atom_site_label
_atom_site_fract_x
_atom_site_fract_y
_atom_site_fract_z
Na1 0.7448 0.7440 0.2567
Na2 0.6828 0.6606 0.8171
O1 0.0588 0.4516 0.4429
O2 0.3754 0.9391 0.5834
V1 0.1055 0.0667 0.8887
Na3 0.9956 0.9933 0.5060
O3 0.2033 0.8071 0.7984
V2 0.3110 0.3613 0.1833
O4 0.3109 0.8746 0.1479
Na4 0.4105 0.4329 0.5894
Na5 0.5894 0.5672 0.4105
Na6 0.2567 0.2544 0.7448
O5 0.6377 0.1681 0.9055
O6 0.7984 0.1912 0.2033
O7 0.9055 0.2887 0.6377
O8 0.5834 0.1021 0.3754
O9 0.4429 0.0467 0.0588
Na7 0.8171 0.8395 0.6828
O10 0.9613 0.3445 0.0819
V3 0.8887 0.9390 0.1055
V4 0.1833 0.1445 0.3110
Na8 0.5060 0.5052 0.9956
O11 0.1479 0.6666 0.3109
O12 0.0819 0.6123 0.9613


Please write out number 2 again, unchanged.
# Na2VO3, relaxed, DFT PBE with a Hubbard U
# SG ... Fdd2, No. 43
# Raw total energy ... -6.034 eV/atom
# ρ ... 3.59 g cm⁻³
data_Na2VO3
_space_group_name_H-M_alt 'P 1'
_space_group_IT_number 1
_cell_length_a 10.2788
_cell_length_b 9.7923
_cell_length_c 5.5307
_cell_angle_alpha 78.92
_cell_angle_beta 69.21
_cell_angle_gamma 31.87
loop_
_space_group_symop_operation_xyz
'x,y,z'
loop_
_atom_site_label
_atom_site_fract_x
_atom_site_fract_y
_atom_site_fract_z
Na1 0.7448 0.7440 0.2567
Na2 0.6828 0.6606 0.8171
O1 0.0588 0.4516 0.4429
O2 0.3754 0.9391 0.5834
V1 0.1055 0.0667 0.8887
Na3 0.9956 0.9933 0.5060
O3 0.2033 0.8071 0.7984
V2 0.3110 0.3613 0.1833
O4 0.3109 0.8746 0.1479
Na4 0.4105 0.4329 0.5894
Na5 0.5894 0.5672 0.4105
Na6 0.2567 0.2544 0.7448
O5 0.6377 0.1681 0.9055
O6 0.7984 0.1912 0.2033
O7 0.9055 0.2887 0.6377
O8 0.5834 0.1021 0.3754
O9 0.4429 0.0467 0.0588
Na7 0.8171 0.8395 0.6828
O10 0.9613 0.3445 0.0819
V3 0.8887 0.9390 0.1055
V4 0.1833 0.1445 0.3110
Na8 0.5060 0.5052 0.9956
O11 0.1479 0.6666 0.3109
O12 0.0819 0.6123 0.9613